SrTlTc2Os | Alexandria | PBE | optimized geometry; energy of formation from the pure elements = 2.0756 eV per atom; DFT total energy = -5.126 eV/atom
1.0
-3.7101 2.5883 2.4662
0.9723 -2.6607 4.2552
3.4382 3.5574 1.4388
Sr Tl Os Tc
1 1 1 2
Cartesian
0.3502 1.7425 4.0801 Sr
0.0000 0.0000 0.0000 Tl
0.4862 -1.3304 2.1276 Os
1.7191 1.7787 0.7194 Tc
-1.8550 1.2942 1.2331 Tc